! ErZrPt, relaxed, DFT PBE; values from VASP
! Crystal system: monoclinic
! E in eV/f.u.: -21.2
! SG: P2_1/c, No. 14
! Formation energy in meV per atom: -672
! E above lowest polymorph in eV/atom: 0.1858
&SYSTEM
  ibrav = 0, nat = 12, ntyp = 3
/
ATOMIC_SPECIES
Er 167.26 Er.upf
Zr 91.22 Zr.upf
Pt 195.08 Pt.upf
CELL_PARAMETERS angstrom
6.172 0.000 0.000
0.000 7.114 0.000
-0.740 0.000 6.525
ATOMIC_POSITIONS crystal
Er 0.090 0.235 0.003
Er 0.090 0.265 0.503
Er 0.910 0.735 0.497
Er 0.910 0.765 0.997
Zr 0.391 0.602 0.236
Zr 0.391 0.898 0.736
Zr 0.609 0.102 0.264
Zr 0.609 0.398 0.764
Pt 0.226 0.557 0.797
Pt 0.226 0.943 0.297
Pt 0.774 0.057 0.703
Pt 0.774 0.443 0.203

! ErZrPt, relaxed, DFT PBE; values from VASP
! Crystal system: hexagonal
! E in eV/f.u.: -21.7
! SG: P-62m, No. 189
! Formation energy in meV per atom: -858
! E above lowest polymorph in eV/atom: 0.0000
&SYSTEM
  ibrav = 0, nat = 9, ntyp = 3
/
ATOMIC_SPECIES
Er 167.26 Er.upf
Zr 91.22 Zr.upf
Pt 195.08 Pt.upf
CELL_PARAMETERS angstrom
7.101 0.000 0.000
-3.551 6.150 0.000
0.000 0.000 4.676
ATOMIC_POSITIONS crystal
Er 0.000 0.587 0.000
Er 0.413 0.413 0.000
Er 0.587 0.000 0.000
Zr 0.000 0.255 0.500
Zr 0.255 0.000 0.500
Zr 0.745 0.745 0.500
Pt 0.000 0.000 0.000
Pt 0.333 0.667 0.500
Pt 0.667 0.333 0.500

! ErZrPt, relaxed, DFT PBE; values from VASP
! Crystal system: tetragonal
! E in eV/f.u.: -21.2
! SG: I4mm, No. 107
! Formation energy in meV per atom: -691
! E above lowest polymorph in eV/atom: 0.1665
&SYSTEM
  ibrav = 0, nat = 3, ntyp = 3
/
ATOMIC_SPECIES
Er 167.26 Er.upf
Zr 91.22 Zr.upf
Pt 195.08 Pt.upf
CELL_PARAMETERS angstrom
-1.726 1.726 5.513
1.726 -1.726 5.513
1.726 1.726 -5.513
ATOMIC_POSITIONS crystal
Er 0.000 0.000 0.000
Zr 0.300 0.300 0.000
Pt 0.664 0.664 0.000

! ErZrPt4, relaxed, DFT PBE; values from VASP
! Crystal system: cubic
! E in eV/f.u.: -42.9
! SG: F-43m, No. 216
! Formation energy in meV per atom: -945
&SYSTEM
  ibrav = 0, nat = 6, ntyp = 3
/
ATOMIC_SPECIES
Er 167.26 Er.upf
Zr 91.22 Zr.upf
Pt 195.08 Pt.upf
CELL_PARAMETERS angstrom
0.000 3.798 3.798
3.798 0.000 3.798
3.798 3.798 0.000
ATOMIC_POSITIONS crystal
Er 0.000 0.000 0.000
Zr 0.750 0.750 0.750
Pt 0.375 0.375 0.375
Pt 0.375 0.375 0.875
Pt 0.375 0.875 0.375
Pt 0.875 0.375 0.375

! Er5ZrPt6, relaxed, DFT PBE; values from VASP
! Crystal system: monoclinic
! E in eV/f.u.: -82.0
! SG: C2/m, No. 12
! Formation energy in meV per atom: -1202
&SYSTEM
  ibrav = 0, nat = 12, ntyp = 3
/
ATOMIC_SPECIES
Er 167.26 Er.upf
Zr 91.22 Zr.upf
Pt 195.08 Pt.upf
CELL_PARAMETERS angstrom
7.742 -3.444 0.000
7.742 3.444 0.000
-1.522 0.000 4.627
ATOMIC_POSITIONS crystal
Er 0.000 0.000 0.000
Er 0.165 0.165 0.664
Er 0.329 0.329 0.329
Er 0.671 0.671 0.671
Er 0.835 0.835 0.336
Zr 0.500 0.500 0.000
Pt 0.103 0.583 0.843
Pt 0.270 0.730 0.500
Pt 0.417 0.897 0.157
Pt 0.583 0.103 0.843
Pt 0.730 0.270 0.500
Pt 0.897 0.417 0.157

! Er2ZrPt, relaxed, DFT PBE; values from VASP
! Crystal system: tetragonal
! E in eV/f.u.: -26.1
! SG: P4/mmm, No. 123
! Formation energy in meV per atom: -587
&SYSTEM
  ibrav = 0, nat = 4, ntyp = 3
/
ATOMIC_SPECIES
Er 167.26 Er.upf
Zr 91.22 Zr.upf
Pt 195.08 Pt.upf
CELL_PARAMETERS angstrom
3.488 0.000 0.000
0.000 3.488 0.000
0.000 0.000 7.764
ATOMIC_POSITIONS crystal
Er 0.000 0.000 0.215
Er 0.000 0.000 0.785
Zr 0.500 0.500 0.500
Pt 0.500 0.500 0.000

! ErPu3, relaxed, DFT PBE; values from VASP
! Crystal system: tetragonal
! E in eV/f.u.: -46.4
! SG: P4mm, No. 99
! Formation energy in meV per atom: 279
! E above lowest polymorph in eV/atom: 0.0547
&SYSTEM
  ibrav = 0, nat = 4, ntyp = 2
/
ATOMIC_SPECIES
Er 167.26 Er.upf
Pu 244.00 Pu.upf
CELL_PARAMETERS angstrom
4.388 0.000 0.000
0.000 4.388 0.000
0.000 0.000 5.043
ATOMIC_POSITIONS crystal
Er 0.000 0.000 0.000
Pu 0.000 0.500 0.498
Pu 0.500 0.000 0.498
Pu 0.500 0.500 0.774

! ErPu3, relaxed, DFT PBE; values from VASP
! Crystal system: tetragonal
! E in eV/f.u.: -46.6
! SG: I4/mmm, No. 139
! Formation energy in meV per atom: 247
! E above lowest polymorph in eV/atom: 0.0226
&SYSTEM
  ibrav = 0, nat = 4, ntyp = 2
/
ATOMIC_SPECIES
Er 167.26 Er.upf
Pu 244.00 Pu.upf
CELL_PARAMETERS angstrom
-2.408 2.408 4.817
2.408 -2.408 4.817
2.408 2.408 -4.817
ATOMIC_POSITIONS crystal
Er 0.000 0.000 0.000
Pu 0.250 0.750 0.500
Pu 0.500 0.500 0.000
Pu 0.750 0.250 0.500

! Er3Pu, relaxed, DFT PBE; values from VASP
! Crystal system: cubic
! E in eV/f.u.: -27.3
! SG: Fm-3m, No. 225
! Formation energy in meV per atom: 182
! E above lowest polymorph in eV/atom: 0.1095
&SYSTEM
  ibrav = 0, nat = 4, ntyp = 2
/
ATOMIC_SPECIES
Er 167.26 Er.upf
Pu 244.00 Pu.upf
CELL_PARAMETERS angstrom
0.000 3.910 3.910
3.910 0.000 3.910
3.910 3.910 0.000
ATOMIC_POSITIONS crystal
Er 0.000 0.000 0.000
Er 0.250 0.250 0.250
Er 0.750 0.750 0.750
Pu 0.500 0.500 0.500

! ErPu3, relaxed, DFT PBE; values from VASP
! Crystal system: orthorhombic
! E in eV/f.u.: -46.7
! SG: Imm2, No. 44
! Formation energy in meV per atom: 225
! E above lowest polymorph in eV/atom: 0.0000
&SYSTEM
  ibrav = 0, nat = 4, ntyp = 2
/
ATOMIC_SPECIES
Er 167.26 Er.upf
Pu 244.00 Pu.upf
CELL_PARAMETERS angstrom
-1.634 5.493 2.786
1.634 -5.493 2.786
1.634 5.493 -2.786
ATOMIC_POSITIONS crystal
Er 0.000 0.000 0.000
Pu 0.269 0.491 0.779
Pu 0.502 0.002 0.500
Pu 0.712 0.491 0.221

! ErPu3, relaxed, DFT PBE; values from VASP
! Crystal system: hexagonal
! E in eV/f.u.: -46.5
! SG: P6_3/mmc, No. 194
! Formation energy in meV per atom: 260
! E above lowest polymorph in eV/atom: 0.0351
&SYSTEM
  ibrav = 0, nat = 8, ntyp = 2
/
ATOMIC_SPECIES
Er 167.26 Er.upf
Pu 244.00 Pu.upf
CELL_PARAMETERS angstrom
6.859 0.000 0.000
-3.429 5.940 0.000
0.000 0.000 5.491
ATOMIC_POSITIONS crystal
Er 0.333 0.667 0.250
Er 0.667 0.333 0.750
Pu 0.164 0.327 0.750
Pu 0.164 0.836 0.750
Pu 0.327 0.164 0.250
Pu 0.673 0.836 0.750
Pu 0.836 0.164 0.250
Pu 0.836 0.673 0.250

! Er3Pu, relaxed, DFT PBE; values from VASP
! Crystal system: orthorhombic
! E in eV/f.u.: -27.7
! SG: Pmm2, No. 25
! Formation energy in meV per atom: 89
! E above lowest polymorph in eV/atom: 0.0173
&SYSTEM
  ibrav = 0, nat = 4, ntyp = 2
/
ATOMIC_SPECIES
Er 167.26 Er.upf
Pu 244.00 Pu.upf
CELL_PARAMETERS angstrom
3.461 0.000 0.000
0.000 5.624 0.000
0.000 0.000 6.105
ATOMIC_POSITIONS crystal
Er 0.000 0.000 0.000
Er 0.000 0.500 0.329
Er 0.500 0.500 0.822
Pu 0.500 0.000 0.499